# 1
This record from Alexandria via LeMat-Bulk describes a geometry-optimized KSbTe2N structure. The functional is PBE.

Geometry as POSCAR:
```
KSbTe2N
1.0
6.215 0.000 0.000
0.000 6.215 0.000
0.000 0.000 3.928
K Sb Te N
1 1 2 1
Direct
0.000 0.000 0.000
0.500 0.500 0.500
0.000 0.500 0.500
0.500 0.000 0.500
0.500 0.500 0.000
```

Summary:
Space-group type: P4/mmm
Distance to the lowest polymorph of the same formula in eV per atom: 0.000
Formation energy from raw total energies in meV per atom: 329
Crystal system: tetragonal
Mass density in g/cm3: 4.71
Fermi-level density of states in states/eV per atom: 0.771

---

# 2
This record from Alexandria via LeMat-Bulk describes a geometry-optimized KSbTe2N structure. The functional is PBE.

Geometry as POSCAR:
```
KSbTe2N
1.0
5.202 0.000 0.000
0.000 5.202 0.000
0.000 0.000 4.664
K Sb Te N
1 1 2 1
Direct
0.000 0.000 0.000
0.500 0.500 0.000
0.000 0.500 0.500
0.500 0.000 0.500
0.500 0.500 0.500
```

Summary:
Space-group type: P4/mmm
Distance to the lowest polymorph of the same formula in eV per atom: 0.045
Formation energy from raw total energies in meV per atom: 375
Crystal system: tetragonal
Mass density in g/cm3: 5.66
Fermi-level density of states in states/eV per atom: 0.403

---

# 3
This record from Alexandria via LeMat-Bulk describes a geometry-optimized KSbTeN2 structure. The functional is PBE.

Geometry as POSCAR:
```
KSbTeN2
1.0
4.481 0.000 0.000
0.000 4.481 0.000
0.000 0.000 5.868
K Sb Te N
1 1 1 2
Direct
0.000 0.000 0.000
0.500 0.500 0.500
0.500 0.500 0.000
0.000 0.500 0.500
0.500 0.000 0.500
```

Summary:
Space-group type: P4/mmm
Distance to the lowest polymorph of the same formula in eV per atom: 0.000
Formation energy from raw total energies in meV per atom: 996
Crystal system: tetragonal
Mass density in g/cm3: 4.46
Fermi-level density of states in states/eV per atom: 0.573

---

# 4
This record from Alexandria via LeMat-Bulk describes a geometry-optimized K2TlSbN structure. The functional is PBE.

Geometry as POSCAR:
```
K2TlSbN
1.0
6.849 0.000 0.000
0.000 6.849 0.000
0.000 0.000 5.666
K Tl Sb N
2 1 1 1
Direct
0.000 0.500 0.000
0.500 0.000 0.000
0.000 0.000 0.500
0.000 0.000 0.000
0.500 0.500 0.500
```

Summary:
Space-group type: P4/mmm
Formation energy from raw total energies in meV per atom: 776
Crystal system: tetragonal
Mass density in g/cm3: 2.61
Fermi-level density of states in states/eV per atom: 1.384

---

# 5
This record from Alexandria via LeMat-Bulk describes a geometry-optimized KVSb2N structure. The functional is PBE.

Geometry as POSCAR:
```
KVSb2N
1.0
5.355 0.000 0.000
0.000 5.355 0.000
0.000 0.000 3.869
K V Sb N
1 1 2 1
Direct
0.000 0.000 0.000
0.500 0.500 0.000
0.000 0.500 0.500
0.500 0.000 0.500
0.500 0.500 0.500
```

Summary:
Space-group type: P4/mmm
Formation energy from raw total energies in meV per atom: 364
Crystal system: tetragonal
Mass density in g/cm3: 5.20
Fermi-level density of states in states/eV per atom: 1.079

---

# 6
This record from Alexandria via LeMat-Bulk describes a geometry-optimized KSc2N structure. The functional is PBE.

Geometry as POSCAR:
```
KSc2N
1.0
6.852 0.000 0.000
0.000 6.852 0.000
0.000 0.000 9.714
K Sc N
4 8 4
Direct
0.000 0.250 0.375
0.000 0.750 0.625
0.500 0.250 0.125
0.500 0.750 0.875
0.000 0.000 0.000
0.000 0.500 0.000
0.250 0.250 0.750
0.250 0.750 0.250
0.500 0.000 0.500
0.500 0.500 0.500
0.750 0.250 0.750
0.750 0.750 0.250
0.000 0.250 0.875
0.000 0.750 0.125
0.500 0.250 0.625
0.500 0.750 0.375
```

Summary:
Space-group type: I4_1/amd
Formation energy from raw total energies in meV per atom: -399
Crystal system: tetragonal
Mass density in g/cm3: 2.08
Fermi-level density of states in states/eV per atom: 1.226

---

Which DFT total energy belongs to each record? In order, -3.636; -3.591; -4.006; -2.625; -4.993; -5.920 eV per atom.
Which volume belongs to each record? In order, 30.3; 25.2; 23.6; 53.2; 22.2; 28.5 A^3/atom.